# IrW2Au | Alexandria | PBE | relaxed
# **Space-group type**: P4mm
# **Energy of formation**: 51 kJ/mol of formula units
# **Size of the total moment**: 0.00 μB per cell
# **Polymorph energy (0 for the lowest one)**: 0.12 eV/f.u.
data_IrW2Au
_symmetry_space_group_name_H-M 'P 1'
_symmetry_Int_Tables_number 1
_cell_length_a 2.7961
_cell_length_b 2.7961
_cell_length_c 8.2911
_cell_angle_alpha 90.00
_cell_angle_beta 90.00
_cell_angle_gamma 89.99
loop_
_symmetry_equiv_pos_as_xyz
'x,y,z'
loop_
_atom_site_label
_atom_site_fract_x
_atom_site_fract_y
_atom_site_fract_z
_atom_site_occupancy
Au1 0.0000 0.0000 0.5004 1
Ir1 0.5000 0.5000 0.7687 1
W1 0.0000 0.0000 0.9845 1
W2 0.5000 0.5000 0.2463 1

---

# AcNd5YHo2 | Alexandria | PBE | relaxed
# **Space-group type**: Cmc2_1
# **Energy of formation**: 125 kJ/mol of formula units
# **Size of the total moment**: 0.00 μB per cell
data_AcNd5YHo2
_symmetry_space_group_name_H-M 'P 1'
_symmetry_Int_Tables_number 1
_cell_length_a 5.5883
_cell_length_b 12.4965
_cell_length_c 9.5636
_cell_angle_alpha 90.00
_cell_angle_beta 90.00
_cell_angle_gamma 102.92
loop_
_symmetry_equiv_pos_as_xyz
'x,y,z'
loop_
_atom_site_label
_atom_site_fract_x
_atom_site_fract_y
_atom_site_fract_z
_atom_site_occupancy
Ac1 0.6025 0.2050 0.9254 1
Ac2 0.3975 0.7950 0.4254 1
Nd1 0.3939 0.7877 0.0327 1
Nd2 0.7411 0.4823 0.8567 1
Nd3 0.4753 0.9506 0.7547 1
Nd4 0.3112 0.6224 0.7233 1
Nd5 0.0092 0.0184 0.5379 1
Nd6 0.6061 0.2123 0.5327 1
Nd7 0.2589 0.5177 0.3567 1
Nd8 0.5247 0.0494 0.2547 1
Nd9 0.6888 0.3776 0.2233 1
Nd10 0.9908 0.9816 0.0379 1
Y1 0.7655 0.5310 0.5321 1
Y2 0.2345 0.4690 0.0321 1
Ho1 0.8879 0.7758 0.7888 1
Ho2 0.1740 0.3481 0.6723 1
Ho3 0.1121 0.2242 0.2888 1
Ho4 0.8260 0.6519 0.1723 1

---

# BaGeRuO6 | Alexandria | PBE | relaxed
# **Space-group type**: P312
# **E_form (uncorrected)**: -1.59 eV/atom
# **Size of the total moment**: 1.78 μB per cell
data_BaGeRuO6
_symmetry_space_group_name_H-M 'P 1'
_symmetry_Int_Tables_number 1
_cell_length_a 5.1868
_cell_length_b 5.1878
_cell_length_c 5.7905
_cell_angle_alpha 90.01
_cell_angle_beta 90.01
_cell_angle_gamma 60.00
loop_
_symmetry_equiv_pos_as_xyz
'x,y,z'
loop_
_atom_site_label
_atom_site_fract_x
_atom_site_fract_y
_atom_site_fract_z
_atom_site_occupancy
Ba1 0.9999 0.0000 0.0000 1
Ge1 0.3333 0.3333 0.5000 1
Ru1 0.6665 0.6667 0.5000 1
O1 0.0024 0.3946 0.3105 1
O2 0.3945 0.0024 0.6895 1
O3 0.6031 0.3945 0.6894 1
O4 0.0024 0.6031 0.6895 1
O5 0.3946 0.6030 0.3105 1
O6 0.6030 0.0024 0.3105 1

---

# SrAgS2O6 | Alexandria | PBE | relaxed
# **Space-group type**: R-3
# **E_form (uncorrected)**: -1.42 eV/atom
# **Size of the total moment**: 1.03 μB per cell
data_SrAgS2O6
_symmetry_space_group_name_H-M 'P 1'
_symmetry_Int_Tables_number 1
_cell_length_a 5.4661
_cell_length_b 5.4661
_cell_length_c 6.9351
_cell_angle_alpha 66.79
_cell_angle_beta 66.79
_cell_angle_gamma 60.00
loop_
_symmetry_equiv_pos_as_xyz
'x,y,z'
loop_
_atom_site_label
_atom_site_fract_x
_atom_site_fract_y
_atom_site_fract_z
_atom_site_occupancy
Sr1 0.0000 0.0000 0.0000 1
Ag1 0.5000 0.5000 0.5000 1
S1 0.7749 0.7749 0.6752 1
S2 0.2251 0.2251 0.3248 1
O1 0.0144 0.4926 0.7626 1
O2 0.7305 0.0144 0.7626 1
O3 0.5074 0.2695 0.2374 1
O4 0.9856 0.5074 0.2374 1
O5 0.2695 0.9856 0.2374 1
O6 0.4926 0.7305 0.7626 1

---

# LaLuCoIr | Alexandria | PBE | relaxed
# **Space-group type**: F-43m
# **Energy of formation**: -158 kJ/mol of formula units
# **Size of the total moment**: 0.55 μB per cell
data_LaLuCoIr
_symmetry_space_group_name_H-M 'P 1'
_symmetry_Int_Tables_number 1
_cell_length_a 4.8734
_cell_length_b 4.8734
_cell_length_c 4.8734
_cell_angle_alpha 60.00
_cell_angle_beta 60.00
_cell_angle_gamma 60.00
loop_
_symmetry_equiv_pos_as_xyz
'x,y,z'
loop_
_atom_site_label
_atom_site_fract_x
_atom_site_fract_y
_atom_site_fract_z
_atom_site_occupancy
Co1 0.5000 0.5000 0.5000 1
Ir1 0.0000 0.0000 0.0000 1
Lu1 0.7500 0.7500 0.7500 1
La1 0.2500 0.2500 0.2500 1

---

# TeRu2Pt | Alexandria | PBE | relaxed
# **Space-group type**: Imm2
# **E_form (uncorrected)**: 0.33 eV/atom
# **Size of the total moment**: 0.00 μB per cell
data_TeRu2Pt
_symmetry_space_group_name_H-M 'P 1'
_symmetry_Int_Tables_number 1
_cell_length_a 4.9862
_cell_length_b 4.9862
_cell_length_c 4.9862
_cell_angle_alpha 135.10
_cell_angle_beta 130.78
_cell_angle_gamma 68.81
loop_
_symmetry_equiv_pos_as_xyz
'x,y,z'
loop_
_atom_site_label
_atom_site_fract_x
_atom_site_fract_y
_atom_site_fract_z
_atom_site_occupancy
Pt1 0.2636 0.7636 0.5000 1
Ru1 0.0031 0.0031 0.0000 1
Ru2 0.7320 0.2320 0.5000 1
Te1 0.5013 0.5013 0.0000 1

---

# Cr2NiPt | Alexandria | PBE | relaxed
# **Space-group type**: P4mm
# **Energy of formation**: 5 kJ/mol of formula units
# **Size of the total moment**: 0.00 μB per cell
data_Cr2NiPt
_symmetry_space_group_name_H-M 'P 1'
_symmetry_Int_Tables_number 1
_cell_length_a 2.5989
_cell_length_b 2.5989
_cell_length_c 7.4633
_cell_angle_alpha 90.00
_cell_angle_beta 90.00
_cell_angle_gamma 89.94
loop_
_symmetry_equiv_pos_as_xyz
'x,y,z'
loop_
_atom_site_label
_atom_site_fract_x
_atom_site_fract_y
_atom_site_fract_z
_atom_site_occupancy
Cr1 0.0000 0.0000 0.0049 1
Cr2 0.5000 0.5000 0.2602 1
Ni1 0.0000 0.0000 0.4818 1
Pt1 0.5000 0.5000 0.7532 1

---

# LaTm2RuO8 | Alexandria | PBE | relaxed
# **Space-group type**: Cmmm
# **E_form (uncorrected)**: -2.42 eV/atom
# **Size of the total moment**: 1.12 μB per cell
data_LaTm2RuO8
_symmetry_space_group_name_H-M 'P 1'
_symmetry_Int_Tables_number 1
_cell_length_a 5.0137
_cell_length_b 5.0121
_cell_length_c 6.8828
_cell_angle_alpha 90.00
_cell_angle_beta 90.00
_cell_angle_gamma 89.79
loop_
_symmetry_equiv_pos_as_xyz
'x,y,z'
loop_
_atom_site_label
_atom_site_fract_x
_atom_site_fract_y
_atom_site_fract_z
_atom_site_occupancy
La1 0.0000 0.0000 0.5000 1
Tm1 0.5000 0.5000 0.7525 1
Tm2 0.5000 0.5000 0.2475 1
Ru1 0.0000 0.0000 0.0000 1
O1 0.1880 0.8113 0.2001 1
O2 0.7269 0.7275 0.0000 1
O3 0.8120 0.1887 0.2001 1
O4 0.8120 0.1887 0.7999 1
O5 0.2731 0.2725 0.0000 1
O6 0.1880 0.8113 0.7999 1
O7 0.6805 0.6815 0.5000 1
O8 0.3195 0.3185 0.5000 1

---

Q: What is the formula in the fourth record?
A: SrAgS2O6